Record 1
VASP calculation (GGA-PBE) on crystalline Sm2TmTc at its relaxed geometry.

- Calculated total energy: -22.87 eV/cell
- Energy relative to the elements: 0.351 eV/atom
- E above lowest polymorph: 401 meV/atom

Lattice parameters (Å, degrees): 3.451 3.451 11.114 81.07 81.07 60.00
Sites, in units of the cell vectors:
Sm  0.103  0.103  0.690
Tc  0.500  0.500  0.500
Sm  0.897  0.897  0.310
Tm  0.000  0.000  0.000

Record 2
VASP calculation (GGA-PBE) on crystalline CrFe2Ru at its relaxed geometry.

- Calculated total energy: -35.10 eV/cell
- Energy relative to the elements: 0.181 eV/atom

Lattice parameters (Å, degrees): 8.459 8.459 8.459 17.79 17.79 17.79
Sites, in units of the cell vectors:
Cr  0.748  0.748  0.748
Fe  0.001  0.001  0.001
Ru  0.498  0.498  0.498
Fe  0.253  0.253  0.253

Record 3
VASP calculation (GGA-PBE) on crystalline CsLa2Se2 at its relaxed geometry.

- Calculated total energy: -23.67 eV/cell
- Formation energy (no corrections): -1.199 eV per atom
- E above lowest polymorph: 0 meV/atom

Lattice parameters (Å, degrees): 5.322 5.322 8.758 72.31 72.31 90.00
Sites, in units of the cell vectors:
Se  0.662  0.662  0.676
La  0.750  0.250  0.500
Cs  0.000  0.000  0.000
Se  0.338  0.338  0.324
La  0.250  0.750  0.500

Record 4
VASP calculation (GGA-PBE) on crystalline Hf2BIr5 at its relaxed geometry.

- Calculated total energy: -76.92 eV/cell
- Energy relative to the elements: -0.754 eV/atom

Lattice parameters (Å, degrees): 5.626 5.626 5.626 90.94 119.46 119.46
Sites, in units of the cell vectors:
Hf  0.500  0.248  0.748
B  0.000  0.968  0.968
Ir  0.000  0.254  0.254
Ir  0.485  0.744  0.744
Ir  0.000  0.259  0.744
Ir  0.000  0.744  0.259
Ir  0.515  0.259  0.259
Hf  0.500  0.748  0.248

Record 5
VASP calculation (GGA-PBE) on crystalline PmGe4Sb at its relaxed geometry.

- Calculated total energy: -28.35 eV/cell
- Formation energy (no corrections): -0.167 eV per atom

Lattice parameters (Å, degrees): 5.681 5.681 5.681 60.00 60.00 60.00
Sites, in units of the cell vectors:
Pm  0.000  0.000  0.000
Ge  0.124  0.625  0.625
Ge  0.625  0.124  0.625
Sb  0.250  0.250  0.250
Ge  0.625  0.625  0.625
Ge  0.625  0.625  0.124

Record 6
VASP calculation (GGA-PBE) on crystalline ErZr2TaN4 at its relaxed geometry.

- Calculated total energy: -78.89 eV/cell
- Formation energy (no corrections): -1.510 eV per atom

Lattice parameters (Å, degrees): 3.250 5.648 5.637 109.17 90.00 90.00
Sites, in units of the cell vectors:
N  0.000  0.237  0.750
N  0.500  0.765  0.760
N  0.500  0.235  0.240
Zr  0.500  0.000  0.500
Er  0.500  0.500  0.000
Ta  0.000  0.000  0.000
Zr  0.000  0.500  0.500
N  0.000  0.763  0.250

Values for DOS(E_F), states/eV/f.u., ordered as above
4.8, 5.9, 6.2, 3.4, 2.3, 3.6